{
  "formula": "Mg3Ir",
  "functional": "PBEsol",
  "state": "relaxed",
  "lattice_angstrom": [[7.853, 0.000, 0.000], [-3.927, 6.801, 0.000], [0.000, 0.000, 8.173]],
  "species": ["Mg", "Mg", "Mg", "Mg", "Mg", "Mg", "Mg", "Mg", "Mg", "Mg", "Mg", "Mg", "Mg", "Mg", "Mg", "Mg", "Mg", "Mg", "Ir", "Ir", "Ir", "Ir", "Ir", "Ir"],
  "frac_coords": [[0.000, 0.000, 0.000], [0.000, 0.000, 0.500], [0.000, 0.287, 0.237], [0.000, 0.371, 0.897], [0.000, 0.629, 0.397], [0.000, 0.713, 0.737], [0.287, 0.000, 0.237], [0.287, 0.287, 0.737], [0.333, 0.667, 0.111], [0.333, 0.667, 0.611], [0.371, 0.000, 0.897], [0.371, 0.371, 0.397], [0.629, 0.000, 0.397], [0.629, 0.629, 0.897], [0.667, 0.333, 0.111], [0.667, 0.333, 0.611], [0.713, 0.000, 0.737], [0.713, 0.713, 0.237], [0.000, 0.328, 0.567], [0.000, 0.672, 0.067], [0.328, 0.000, 0.567], [0.328, 0.328, 0.067], [0.672, 0.000, 0.067], [0.672, 0.672, 0.567]],
  "formation_enthalpy_0k_ev_per_atom": -0.29,
  "space_group": "P6_3cm (185)",
  "dos_ef_per_ev_atom": 0.422,
  "crystal_system": "hexagonal"
}

=====

{
  "formula": "MgIr3",
  "functional": "PBEsol",
  "state": "relaxed",
  "lattice_angstrom": [[2.726, -3.855, 0.000], [2.726, 3.855, 0.000], [0.000, 0.000, 2.720]],
  "species": ["Mg", "Ir", "Ir", "Ir"],
  "frac_coords": [[0.000, 0.000, 0.000], [0.000, 0.500, 0.500], [0.500, 0.000, 0.500], [0.500, 0.500, 0.000]],
  "formation_enthalpy_0k_ev_per_atom": -0.16,
  "space_group": "Cmmm (65)",
  "dos_ef_per_ev_atom": 0.776,
  "crystal_system": "orthorhombic"
}